Record 1
Entry from the Open Quantum Materials Database: TlPd8 after structural relaxation (PBE-GGA).

Cell lengths 4.752, 4.752, 27.292 Å; angles 90.04, 90.04, 48.30 degrees
Fractional coordinates of all 18 atoms:
1 Tl 0.055 0.055 0.212
2 Tl 0.945 0.945 0.788
3 Pd 0.054 0.054 0.549
4 Pd 0.149 0.149 0.318
5 Pd 0.155 0.155 0.648
6 Pd 0.245 0.245 0.418
7 Pd 0.246 0.246 0.749
8 Pd 0.352 0.352 0.517
9 Pd 0.451 0.451 0.284
10 Pd 0.455 0.455 0.615
11 Pd 0.545 0.545 0.385
12 Pd 0.549 0.549 0.716
13 Pd 0.648 0.648 0.483
14 Pd 0.754 0.754 0.251
15 Pd 0.755 0.755 0.582
16 Pd 0.845 0.845 0.352
17 Pd 0.851 0.851 0.682
18 Pd 0.946 0.946 0.451

## Properties
- Calculated total energy: -4.860 eV/atom
- Symmetry: No. 12


Record 2
Entry from the Open Quantum Materials Database: TlPd7 after structural relaxation (PBE-GGA).

Cell lengths 2.807, 3.828, 32.339 Å; angles 90.00, 90.00, 90.00 degrees
Fractional coordinates of all 16 atoms:
1 Tl 0.250 0.250 0.160
2 Tl 0.750 0.750 0.840
3 Pd 0.250 0.250 0.258
4 Pd 0.250 0.250 0.347
5 Pd 0.250 0.250 0.434
6 Pd 0.250 0.250 0.522
7 Pd 0.250 0.250 0.610
8 Pd 0.250 0.250 0.698
9 Pd 0.250 0.250 0.787
10 Pd 0.750 0.750 0.213
11 Pd 0.750 0.750 0.302
12 Pd 0.750 0.750 0.390
13 Pd 0.750 0.750 0.478
14 Pd 0.750 0.750 0.566
15 Pd 0.750 0.750 0.653
16 Pd 0.750 0.750 0.742

## Properties
- Energy above the most stable polymorph in this dataset: 0.0000 eV/atom
- Calculated total energy: -4.809 eV/atom
- Symmetry: No. 59


Record 3
Entry from the Open Quantum Materials Database: TlPd3 after structural relaxation (PBE-GGA).

Cell lengths 4.932, 4.932, 4.932 Å; angles 131.10, 131.10, 71.65 degrees
Fractional coordinates of all 4 atoms:
1 Tl 0.000 0.000 0.000
2 Pd 0.250 0.750 0.500
3 Pd 0.500 0.500 0.000
4 Pd 0.750 0.250 0.500

## Properties
- Calculated total energy: -4.678 eV/atom
- Symmetry: No. 139


Record 4
Entry from the Open Quantum Materials Database: Tl2Pd after structural relaxation (PBE-GGA).

Cell lengths 4.112, 5.335, 6.787 Å; angles 90.00, 90.00, 90.00 degrees
Fractional coordinates of all 6 atoms:
1 Tl 0.000 0.108 0.000
2 Tl 0.000 0.892 0.500
3 Tl 0.500 0.362 0.648
4 Tl 0.500 0.638 0.148
5 Pd 0.000 0.381 0.357
6 Pd 0.000 0.619 0.857

## Properties
- Calculated total energy: -3.356 eV/atom
- Symmetry: No. 26


Record 5
Entry from the Open Quantum Materials Database: Tm2Tl8Pd after structural relaxation (PBE-GGA).

Cell lengths 4.820, 4.820, 12.412 Å; angles 90.00, 90.00, 90.00 degrees
Fractional coordinates of all 11 atoms:
1 Tm 0.000 0.000 0.190
2 Tm 0.000 0.000 0.810
3 Tl 0.000 0.500 0.000
4 Tl 0.000 0.500 0.371
5 Tl 0.000 0.500 0.629
6 Tl 0.500 0.000 0.000
7 Tl 0.500 0.000 0.371
8 Tl 0.500 0.000 0.629
9 Tl 0.500 0.500 0.185
10 Tl 0.500 0.500 0.815
11 Pd 0.000 0.000 0.500

## Properties
- Calculated total energy: -3.153 eV/atom
- Symmetry: No. 123


Record 6
Entry from the Open Quantum Materials Database: YTmTlPd2 after structural relaxation (PBE-GGA).

Cell lengths 3.641, 7.797, 7.797 Å; angles 30.63, 90.00, 90.00 degrees
Fractional coordinates of all 5 atoms:
1 Y 0.000 0.000 0.000
2 Tm 0.000 0.269 0.269
3 Tl 0.500 0.633 0.633
4 Pd 0.500 0.441 0.441
5 Pd 0.500 0.822 0.822

## Properties
- Calculated total energy: -5.501 eV/atom
- Symmetry: No. 38


Record 7
Entry from the Open Quantum Materials Database: TlPdW2 after structural relaxation (PBE-GGA).

Cell lengths 4.619, 4.619, 4.619 Å; angles 60.00, 60.00, 60.00 degrees
Fractional coordinates of all 4 atoms:
1 Tl 0.000 0.000 0.000
2 Pd 0.250 0.250 0.250
3 W 0.500 0.500 0.500
4 W 0.750 0.750 0.750

## Properties
- Calculated total energy: -7.669 eV/atom
- Symmetry: No. 216


Record 8
Entry from the Open Quantum Materials Database: TlPdW after structural relaxation (PBE-GGA).

Cell lengths 4.465, 4.465, 4.465 Å; angles 60.00, 60.00, 60.00 degrees
Fractional coordinates of all 3 atoms:
1 Tl 0.000 0.000 0.000
2 Pd 0.750 0.750 0.750
3 W 0.250 0.250 0.250

## Properties
- Calculated total energy: -5.479 eV/atom
- Symmetry: No. 216